Here is an optimized crystal structure of LiPm2ThN4 from the Alexandria database. Energies are from PBE.

Lattice parameters (Å, degrees): 3.5411 6.1129 11.5385 90.00 90.00 106.84
Closest atoms and distances in Å follow each position.
Fractional coordinates of all 16 atoms:
Pm  0.6302  0.2605  0.4441  6 N 2.41-2.64
Pm  0.3698  0.7395  0.9441  6 N 2.41-2.64
Pm  0.6302  0.2605  0.0559  6 N 2.41-2.64
Pm  0.3698  0.7395  0.5559  6 N 2.41-2.64
N  0.0000  0.0000  0.0000  4 Pm 2.42
N  0.2800  0.5600  0.3684  1 Li 1.99
N  0.7200  0.4400  0.8684  1 Li 1.99
N  0.2800  0.5600  0.1316  1 Li 1.99
N  0.7200  0.4400  0.6316  1 Li 1.99
N  0.0000  0.0000  0.5000  4 Pm 2.42
N  0.4571  0.9142  0.7500  2 Li 2.21, 2 Pm 2.46
N  0.5429  0.0858  0.2500  2 Li 2.21, 2 Pm 2.46
Li  0.8434  0.6868  0.7500  4 N 1.99-2.21
Li  0.1566  0.3132  0.2500  4 N 1.99-2.21
Th  0.8929  0.7858  0.2500  6 N 2.49-2.60
Th  0.1071  0.2142  0.7500  6 N 2.49-2.60

Computed properties:
Symmetry = Cmcm (63)
E_form (uncorrected) = -1.102 eV per atom
Raw total energy = -121.90 eV/cell
Total moment = 0.0000 μB per atom
V = 14.9 A^3/atom

Here is an optimized crystal structure of LiPmUN3 from the Alexandria database. Energies are from PBE.

Lattice parameters (Å, degrees): 3.4705 7.1409 6.9548 102.81 90.00 90.00
Closest atoms and distances in Å follow each position.
Fractional coordinates of all 12 atoms:
Pm  0.2500  0.1798  0.2162  3 N 2.40-2.62
Pm  0.7500  0.8202  0.7838  3 N 2.40-2.62
N  0.2500  0.1192  0.8621  1 Li 1.90
N  0.7500  0.2066  0.5257  3 Li 1.97-2.06, 1 U 2.05
N  0.7500  0.8808  0.1379  1 Li 1.90
N  0.2500  0.7934  0.4743  3 Li 1.97-2.06, 1 U 2.05
N  0.7500  0.4236  0.1317  1 U 2.11
N  0.2500  0.5764  0.8683  1 U 2.11
U  0.2500  0.6726  0.1782  2 N 2.05-2.11
U  0.7500  0.3274  0.8218  2 N 2.05-2.11
Li  0.7500  0.9275  0.4177  4 N 1.90-2.06
Li  0.2500  0.0725  0.5823  4 N 1.90-2.06

Computed properties:
Symmetry = P2_1/m (11)
E_form (uncorrected) = -1.161 eV per atom
Raw total energy = -99.79 eV/cell
Total moment = 0.1048 μB per atom
V = 14.0 A^3/atom